Compound: La7Sn2N2
Source: Alexandria via LeMat-Bulk
Functional: PBE
Structure: relaxed

Output
Spin magnetization, μB/atom: 0.000
Theoretical density, g/cm³: 6.6
Formation energy from raw total energies, eV/atom: -0.653

Lattice parameters (Å, degrees): 7.0390 6.8479 7.0390 94.26 113.13 85.74
Atoms (fractional coordinates):
Sn 0.8159 0.5000 0.8159
Sn 0.1841 0.5000 0.1841
La 0.9452 0.7702 0.4920
La 0.4920 0.2298 0.9452
La 0.0000 0.0000 0.0000
La 0.5659 0.1984 0.4341
La 0.4341 0.8016 0.5659
La 0.0548 0.2298 0.5080
La 0.5080 0.7702 0.0548
N 0.7740 0.0255 0.2260
N 0.2260 0.9745 0.7740